No. 1
Crystalline Si2TcAg at its relaxed geometry, computed with PBE.

Unit cell a=3.9888 b=3.9888 c=16.5976 alpha=90.00 beta=90.00 gamma=90.00
With the nearest neighbours (Å) after each atom.
Atoms (fractional coordinates):
Si (0.2105, 0.2500, 0.1250)  2 Tc 2.45, 2 Ag 2.58, 2 Si 2.61
Si (0.2500, 0.7105, 0.3750)  2 Tc 2.45, 2 Ag 2.58, 2 Si 2.61
Si (0.2500, 0.7895, 0.8750)  2 Tc 2.45, 2 Ag 2.58, 2 Si 2.61
Si (0.2895, 0.2500, 0.6250)  2 Tc 2.45, 2 Ag 2.58, 2 Si 2.61
Si (0.7105, 0.7500, 0.6250)  2 Tc 2.45, 2 Ag 2.58, 2 Si 2.61
Si (0.7500, 0.2105, 0.8750)  2 Tc 2.45, 2 Ag 2.58, 2 Si 2.61
Si (0.7500, 0.2895, 0.3750)  2 Tc 2.45, 2 Ag 2.58, 2 Si 2.61
Si (0.7895, 0.7500, 0.1250)  2 Tc 2.45, 2 Ag 2.58, 2 Si 2.61
Tc (0.0000, 0.0000, 0.0000)  4 Si 2.45
Tc (0.0000, 0.5000, 0.2500)  4 Si 2.45
Tc (0.5000, 0.0000, 0.7500)  4 Si 2.45
Tc (0.5000, 0.5000, 0.5000)  4 Si 2.45
Ag (0.0000, 0.0000, 0.5000)  4 Si 2.58, 4 Tc 2.82
Ag (0.0000, 0.5000, 0.7500)  4 Si 2.58, 4 Tc 2.82
Ag (0.5000, 0.0000, 0.2500)  4 Si 2.58, 4 Tc 2.82
Ag (0.5000, 0.5000, 0.0000)  4 Si 2.58, 4 Tc 2.82

Values from the calculation:
Theoretical density: 6.59 g/cm3
Volume: 264.1 Å³ per cell
Energy above the lowest structure with this stoichiometry: 441 meV per atom
Crystal system: tetragonal
Total energy: -5.633 eV per atom
Fermi-level density of states: 8.71 states/eV per cell
Formation energy (no corrections): 0.383 eV/atom


No. 2
Crystalline K2Ba3RhO6 at its relaxed geometry, computed with PBE.

Unit cell a=6.6943 b=6.6943 c=6.0746 alpha=100.50 beta=100.50 gamma=119.62
With the nearest neighbours (Å) after each atom.
Atoms (fractional coordinates):
K (0.1679, 0.8321, 0.0000)  6 O 2.78-2.80
K (0.8321, 0.1679, 0.0000)  6 O 2.78-2.80
Ba (0.0000, 0.0000, 0.5000)  4 O 2.60
Ba (0.3365, 0.6635, 0.5000)  4 O 2.54-2.61
Ba (0.6635, 0.3365, 0.5000)  4 O 2.54-2.61
Rh (0.5000, 0.5000, 0.0000)  6 O 2.13-2.22
O (0.1669, 0.4257, 0.7865)  1 Rh 2.13
O (0.3052, 0.3052, 0.2272)  1 Rh 2.22
O (0.4257, 0.1669, 0.7865)  1 Rh 2.13
O (0.5743, 0.8331, 0.2135)  1 Rh 2.13
O (0.6948, 0.6948, 0.7728)  1 Rh 2.22
O (0.8331, 0.5743, 0.2135)  1 Rh 2.13

Values from the calculation:
Theoretical density: 5.19 g/cm3
Volume: 220.6 Å³ per cell
Crystal system: monoclinic
Total energy: -5.396 eV per atom
Fermi-level density of states: 6.41 states/eV per cell
Formation energy (no corrections): -1.640 eV/atom